No. 1
SmHo3Co2: relaxed, PBE.

Unit cell a=3.972 b=8.285 c=10.010 alpha=77.07 beta=78.56 gamma=76.13
Positions (direct):
Co 0.375 0.877 0.374
Co 0.625 0.123 0.626
Co 0.125 0.631 0.119
Co 0.875 0.369 0.881
Sm 0.563 0.565 0.308
Sm 0.437 0.435 0.692
Ho 0.064 0.062 0.810
Ho 0.310 0.317 0.062
Ho 0.810 0.821 0.559
Ho 0.936 0.938 0.190
Ho 0.190 0.179 0.441
Ho 0.690 0.683 0.938

Calculated values
- total moment (μB/atom) = 0.0000
- distance to the lowest polymorph of the same formula (eV per atom) = 0.057


No. 2
Sm5Ho4Co2: relaxed, PBE.

Unit cell a=3.527 b=8.928 c=9.955 alpha=93.25 beta=90.00 gamma=90.00
Positions (direct):
Sm 0.000 0.500 0.000
Sm 0.000 0.152 0.146
Sm 0.000 0.525 0.335
Sm 0.000 0.475 0.665
Sm 0.000 0.848 0.854
Ho 0.500 0.182 0.817
Ho 0.500 0.180 0.467
Ho 0.500 0.818 0.183
Ho 0.500 0.820 0.533
Co 0.000 0.038 0.645
Co 0.000 0.962 0.355

Calculated values
- total moment (μB/atom) = 0.0000


No. 3
Sm4HoCo2: relaxed, PBE.

Unit cell a=6.494 b=7.760 c=7.789 alpha=113.07 beta=90.00 gamma=90.00
Positions (direct):
Sm 0.997 0.412 0.760
Sm 0.503 0.412 0.760
Sm 0.497 0.588 0.240
Sm 0.750 0.753 0.673
Sm 0.003 0.588 0.240
Sm 0.250 0.247 0.327
Sm 0.750 0.020 0.373
Sm 0.250 0.980 0.627
Co 0.250 0.255 0.991
Co 0.750 0.745 0.009
Co 0.750 0.369 0.402
Co 0.250 0.631 0.598
Ho 0.750 0.161 0.030
Ho 0.250 0.839 0.970

Calculated values
- total moment (μB/atom) = 0.0000


No. 4
SmHo2Co: relaxed, PBE.

Unit cell a=3.389 b=3.389 c=8.895 alpha=90.00 beta=90.00 gamma=90.00
Last column: magnetic moment on the atom in μB.
Positions (direct):
Ho 0.000 0.000 0.820  -0.10
Ho 0.000 0.000 0.180  -0.10
Sm 0.500 0.500 0.500  0.03
Co 0.500 0.500 0.000  0.84

Calculated values
- total moment (μB/atom) = 0.1703
- distance to the lowest polymorph of the same formula (eV per atom) = 0.074


No. 5
SmHoCo10: relaxed, PBE.

Unit cell a=3.946 b=4.935 c=8.571 alpha=90.00 beta=90.00 gamma=90.00
Last column: magnetic moment on the atom in μB.
Positions (direct):
Co 0.000 0.000 0.663  1.52
Co 0.000 0.000 0.337  1.52
Co 0.500 0.252 0.747  1.54
Co 0.000 0.500 0.827  1.51
Co 0.500 0.500 0.000  1.53
Co 0.500 0.748 0.747  1.54
Co 0.500 0.000 0.500  1.55
Co 0.500 0.252 0.253  1.54
Co 0.500 0.748 0.253  1.54
Co 0.000 0.500 0.173  1.51
Ho 0.000 0.500 0.500  -0.38
Sm 0.000 0.000 0.000  -0.24

Calculated values
- total moment (μB/atom) = 1.1879


No. 6
SmHo2Co: relaxed, PBE.

Unit cell a=3.704 b=3.704 c=9.478 alpha=78.73 beta=78.73 gamma=60.00
Positions (direct):
Ho 0.277 0.277 0.168
Ho 0.723 0.723 0.832
Sm 0.500 0.500 0.500
Co 0.000 0.000 0.000

Calculated values
- total moment (μB/atom) = 0.0000
- distance to the lowest polymorph of the same formula (eV per atom) = 0.143


no.,E_form (eV/atom)
1,-0.09
2,0.00
3,0.02
4,-0.08
5,-0.09
6,-0.01